Entry from OQMD: a geometry-optimized NdSbPbSe3 structure (PBE-GGA).

## Properties
crystal system: orthorhombic
SG: No. 63
magnetic moment: 0.01 μB per cell
final energy: -4.579 eV/atom

CIF file:
```
data_NdSbPbSe3
_chemical_formula_sum 'Nd2 Sb2 Pb2 Se6'
_cell_length_a 7.980
_cell_length_b 7.980
_cell_length_c 9.978
_cell_angle_alpha 90.00
_cell_angle_beta 90.00
_cell_angle_gamma 147.30
_space_group_name_H-M_alt 'P 1'
_space_group_IT_number 1
_space_group_name_Hall 'P 1'
loop_
_atom_site_label
_atom_site_type_symbol
_atom_site_fract_x
_atom_site_fract_y
_atom_site_fract_z
Se1 Se 0.135 0.865 0.250
Pb1 Pb 0.756 0.244 0.250
Sb1 Sb 0.532 0.468 0.750
Pb2 Pb 0.244 0.756 0.750
Nd1 Nd 0.000 0.000 0.500
Se2 Se 0.367 0.633 0.467
Se3 Se 0.633 0.367 0.533
Se4 Se 0.865 0.135 0.750
Sb2 Sb 0.468 0.532 0.250
Nd2 Nd 0.000 0.000 0.000
Se5 Se 0.633 0.367 0.967
Se6 Se 0.367 0.633 0.033
```



Entry from OQMD: a geometry-optimized NdScPb structure (PBE-GGA).

## Properties
crystal system: cubic
SG: No. 216
magnetic moment: 1.83 μB per cell
final energy: -4.744 eV/atom

CIF file:
```
data_NdScPb
_chemical_formula_sum 'Nd1 Sc1 Pb1'
_cell_length_a 5.099
_cell_length_b 5.099
_cell_length_c 5.099
_cell_angle_alpha 60.00
_cell_angle_beta 60.00
_cell_angle_gamma 60.00
_space_group_name_H-M_alt 'P 1'
_space_group_IT_number 1
_space_group_name_Hall 'P 1'
loop_
_atom_site_label
_atom_site_type_symbol
_atom_site_fract_x
_atom_site_fract_y
_atom_site_fract_z
Pb1 Pb 0.750 0.750 0.750
Nd1 Nd 0.250 0.250 0.250
Sc1 Sc 0.000 0.000 0.000
```



Entry from OQMD: a geometry-optimized NdScPb structure (PBE-GGA).

## Properties
crystal system: tetragonal
SG: No. 129
magnetic moment: 0.68 μB per cell
final energy: -5.397 eV/atom

CIF file:
```
data_NdScPb
_chemical_formula_sum 'Nd2 Sc2 Pb2'
_cell_length_a 4.537
_cell_length_b 4.537
_cell_length_c 8.431
_cell_angle_alpha 90.00
_cell_angle_beta 90.00
_cell_angle_gamma 90.00
_space_group_name_H-M_alt 'P 1'
_space_group_IT_number 1
_space_group_name_Hall 'P 1'
loop_
_atom_site_label
_atom_site_type_symbol
_atom_site_fract_x
_atom_site_fract_y
_atom_site_fract_z
Pb1 Pb 0.000 0.500 0.753
Sc1 Sc 0.000 0.000 0.500
Nd1 Nd 0.000 0.500 0.153
Sc2 Sc 0.500 0.500 0.500
Nd2 Nd 0.500 0.000 0.847
Pb2 Pb 0.500 0.000 0.247
```



Entry from OQMD: a geometry-optimized NdPbSe2 structure (PBE-GGA).

## Properties
crystal system: tetragonal
SG: No. 123
magnetic moment: 0.02 μB per cell
final energy: -4.992 eV/atom

CIF file:
```
data_NdPbSe2
_chemical_formula_sum 'Nd1 Pb1 Se2'
_cell_length_a 4.302
_cell_length_b 4.302
_cell_length_c 6.107
_cell_angle_alpha 90.00
_cell_angle_beta 90.00
_cell_angle_gamma 90.00
_space_group_name_H-M_alt 'P 1'
_space_group_IT_number 1
_space_group_name_Hall 'P 1'
loop_
_atom_site_label
_atom_site_type_symbol
_atom_site_fract_x
_atom_site_fract_y
_atom_site_fract_z
Se1 Se 0.500 0.500 0.000
Pb1 Pb 0.500 0.500 0.500
Se2 Se 0.000 0.000 0.500
Nd1 Nd 0.000 0.000 0.000
```



Entry from OQMD: a geometry-optimized NdTmPbSe3 structure (PBE-GGA).

## Properties
crystal system: orthorhombic
SG: No. 63
magnetic moment: 0.03 μB per cell
final energy: -5.049 eV/atom

CIF file:
```
data_NdTmPbSe3
_chemical_formula_sum 'Nd2 Tm2 Pb2 Se6'
_cell_length_a 7.421
_cell_length_b 7.421
_cell_length_c 11.601
_cell_angle_alpha 90.00
_cell_angle_beta 90.00
_cell_angle_gamma 146.41
_space_group_name_H-M_alt 'P 1'
_space_group_IT_number 1
_space_group_name_Hall 'P 1'
loop_
_atom_site_label
_atom_site_type_symbol
_atom_site_fract_x
_atom_site_fract_y
_atom_site_fract_z
Nd1 Nd 0.000 0.000 0.000
Pb1 Pb 0.771 0.229 0.250
Nd2 Nd 0.000 0.000 0.500
Tm1 Tm 0.453 0.547 0.250
Se1 Se 0.642 0.358 0.546
Se2 Se 0.358 0.642 0.046
Se3 Se 0.925 0.075 0.750
Pb2 Pb 0.229 0.771 0.750
Tm2 Tm 0.547 0.453 0.750
Se4 Se 0.358 0.642 0.454
Se5 Se 0.642 0.358 0.954
Se6 Se 0.075 0.925 0.250
```



Entry from OQMD: a geometry-optimized NdZnPbSe3 structure (PBE-GGA).

## Properties
crystal system: orthorhombic
SG: No. 63
magnetic moment: 0.02 μB per cell
final energy: -4.299 eV/atom

CIF file:
```
data_NdZnPbSe3
_chemical_formula_sum 'Nd2 Zn2 Pb2 Se6'
_cell_length_a 7.209
_cell_length_b 7.209
_cell_length_c 11.027
_cell_angle_alpha 90.00
_cell_angle_beta 90.00
_cell_angle_gamma 145.70
_space_group_name_H-M_alt 'P 1'
_space_group_IT_number 1
_space_group_name_Hall 'P 1'
loop_
_atom_site_label
_atom_site_type_symbol
_atom_site_fract_x
_atom_site_fract_y
_atom_site_fract_z
Zn1 Zn 0.974 0.026 0.250
Se1 Se 0.415 0.585 0.750
Pb1 Pb 0.721 0.279 0.750
Pb2 Pb 0.279 0.721 0.250
Zn2 Zn 0.026 0.974 0.750
Se2 Se 0.858 0.142 0.433
Se3 Se 0.858 0.142 0.067
Nd1 Nd 0.500 0.500 0.000
Se4 Se 0.142 0.858 0.933
Nd2 Nd 0.500 0.500 0.500
Se5 Se 0.142 0.858 0.567
Se6 Se 0.585 0.415 0.250
```



Entry from OQMD: a geometry-optimized NdSmPb2 structure (PBE-GGA).

## Properties
crystal system: orthorhombic
SG: No. 38
magnetic moment: 0.01 μB per cell
final energy: -4.780 eV/atom

CIF file:
```
data_NdSmPb2
_chemical_formula_sum 'Nd1 Sm1 Pb2'
_cell_length_a 4.498
_cell_length_b 6.396
_cell_length_c 6.396
_cell_angle_alpha 42.72
_cell_angle_beta 90.00
_cell_angle_gamma 90.00
_space_group_name_H-M_alt 'P 1'
_space_group_IT_number 1
_space_group_name_Hall 'P 1'
loop_
_atom_site_label
_atom_site_type_symbol
_atom_site_fract_x
_atom_site_fract_y
_atom_site_fract_z
Sm1 Sm 0.500 0.368 0.368
Pb1 Pb 0.000 0.903 0.903
Pb2 Pb 0.500 0.097 0.097
Nd1 Nd 0.000 0.632 0.632
```



Entry from OQMD: a geometry-optimized NdSmPb structure (PBE-GGA).

## Properties
crystal system: cubic
SG: No. 216
magnetic moment: 1.90 μB per cell
final energy: -4.117 eV/atom

CIF file:
```
data_NdSmPb
_chemical_formula_sum 'Nd1 Sm1 Pb1'
_cell_length_a 5.340
_cell_length_b 5.340
_cell_length_c 5.340
_cell_angle_alpha 60.00
_cell_angle_beta 60.00
_cell_angle_gamma 60.00
_space_group_name_H-M_alt 'P 1'
_space_group_IT_number 1
_space_group_name_Hall 'P 1'
loop_
_atom_site_label
_atom_site_type_symbol
_atom_site_fract_x
_atom_site_fract_y
_atom_site_fract_z
Nd1 Nd 0.250 0.250 0.250
Sm1 Sm 0.000 0.000 0.000
Pb1 Pb 0.750 0.750 0.750
```



Entry from OQMD: a geometry-optimized NdSmZn2Pb2 structure (PBE-GGA).

## Properties
crystal system: hexagonal
SG: No. 194
magnetic moment: 0.01 μB per cell
final energy: -3.707 eV/atom

CIF file:
```
data_NdSmZn2Pb2
_chemical_formula_sum 'Nd2 Sm2 Zn4 Pb4'
_cell_length_a 4.650
_cell_length_b 4.650
_cell_length_c 16.443
_cell_angle_alpha 90.00
_cell_angle_beta 90.00
_cell_angle_gamma 120.00
_space_group_name_H-M_alt 'P 1'
_space_group_IT_number 1
_space_group_name_Hall 'P 1'
loop_
_atom_site_label
_atom_site_type_symbol
_atom_site_fract_x
_atom_site_fract_y
_atom_site_fract_z
Pb1 Pb 0.333 0.667 0.387
Zn1 Zn 0.333 0.667 0.664
Sm1 Sm 0.000 0.000 0.250
Nd1 Nd 0.000 0.000 0.500
Zn2 Zn 0.667 0.333 0.336
Pb2 Pb 0.333 0.667 0.113
Pb3 Pb 0.667 0.333 0.887
Sm2 Sm 0.000 0.000 0.750
Zn3 Zn 0.333 0.667 0.836
Nd2 Nd 0.000 0.000 0.000
Pb4 Pb 0.667 0.333 0.613
Zn4 Zn 0.667 0.333 0.164
```



Entry from OQMD: a geometry-optimized NdSmZn2Pb2 structure (PBE-GGA).

## Properties
crystal system: hexagonal
SG: No. 194
magnetic moment: 0.01 μB per cell
final energy: -3.700 eV/atom

CIF file:
```
data_NdSmZn2Pb2
_chemical_formula_sum 'Nd2 Sm2 Zn4 Pb4'
_cell_length_a 4.661
_cell_length_b 4.661
_cell_length_c 16.444
_cell_angle_alpha 90.00
_cell_angle_beta 90.00
_cell_angle_gamma 120.00
_space_group_name_H-M_alt 'P 1'
_space_group_IT_number 1
_space_group_name_Hall 'P 1'
loop_
_atom_site_label
_atom_site_type_symbol
_atom_site_fract_x
_atom_site_fract_y
_atom_site_fract_z
Zn1 Zn 0.667 0.333 0.163
Zn2 Zn 0.333 0.667 0.663
Pb1 Pb 0.667 0.333 0.889
Zn3 Zn 0.333 0.667 0.837
Zn4 Zn 0.667 0.333 0.337
Pb2 Pb 0.667 0.333 0.611
Sm1 Sm 0.000 0.000 0.500
Nd1 Nd 0.000 0.000 0.750
Pb3 Pb 0.333 0.667 0.111
Sm2 Sm 0.000 0.000 0.000
Nd2 Nd 0.000 0.000 0.250
Pb4 Pb 0.333 0.667 0.389
```



Entry from OQMD: a geometry-optimized Nd3Sn2Pb5 structure (PBE-GGA).

## Properties
crystal system: orthorhombic
SG: No. 65
magnetic moment: 0.01 μB per cell
final energy: -4.566 eV/atom

CIF file:
```
data_Nd3Sn2Pb5
_chemical_formula_sum 'Nd3 Sn2 Pb5'
_cell_length_a 13.340
_cell_length_b 13.340
_cell_length_c 4.787
_cell_angle_alpha 90.00
_cell_angle_beta 90.00
_cell_angle_gamma 159.75
_space_group_name_H-M_alt 'P 1'
_space_group_IT_number 1
_space_group_name_Hall 'P 1'
loop_
_atom_site_label
_atom_site_type_symbol
_atom_site_fract_x
_atom_site_fract_y
_atom_site_fract_z
Pb1 Pb 0.098 0.902 0.500
Pb2 Pb 0.597 0.403 0.000
Nd1 Nd 0.811 0.189 0.000
Pb3 Pb 0.403 0.597 0.000
Sn1 Sn 0.710 0.290 0.500
Nd2 Nd 0.189 0.811 0.000
Pb4 Pb 0.500 0.500 0.500
Nd3 Nd 0.000 0.000 0.000
Sn2 Sn 0.290 0.710 0.500
Pb5 Pb 0.902 0.098 0.500
```



Entry from OQMD: a geometry-optimized Nd3Sn3Pb4 structure (PBE-GGA).

## Properties
crystal system: orthorhombic
SG: No. 65
magnetic moment: 0.01 μB per cell
final energy: -4.614 eV/atom

CIF file:
```
data_Nd3Sn3Pb4
_chemical_formula_sum 'Nd3 Sn3 Pb4'
_cell_length_a 13.313
_cell_length_b 13.313
_cell_length_c 4.764
_cell_angle_alpha 90.00
_cell_angle_beta 90.00
_cell_angle_gamma 159.82
_space_group_name_H-M_alt 'P 1'
_space_group_IT_number 1
_space_group_name_Hall 'P 1'
loop_
_atom_site_label
_atom_site_type_symbol
_atom_site_fract_x
_atom_site_fract_y
_atom_site_fract_z
Pb1 Pb 0.097 0.903 0.500
Pb2 Pb 0.596 0.404 0.000
Nd1 Nd 0.811 0.189 0.000
Nd2 Nd 0.189 0.811 0.000
Sn1 Sn 0.710 0.290 0.500
Sn2 Sn 0.290 0.710 0.500
Pb3 Pb 0.903 0.097 0.500
Sn3 Sn 0.500 0.500 0.500
Nd3 Nd 0.000 0.000 0.000
Pb4 Pb 0.404 0.596 0.000
```